The following is a DFT calculation (PBE-GGA) of a relaxed Li2Ga2Ru crystal.

Structure (extended XYZ):
```
10
Lattice="7.042 0.000 0.000 0.000 7.042 0.000 0.000 0.000 2.892" Properties=species:S:1:pos:R:3 pbc="T T T"
Li 1.097 2.423 0.000
Li 2.423 5.944 0.000
Li 4.618 1.097 0.000
Li 5.944 4.618 0.000
Ga 1.030 4.550 1.446
Ga 2.491 1.030 1.446
Ga 4.550 6.012 1.446
Ga 6.012 2.491 1.446
Ru 0.000 0.000 1.446
Ru 3.521 3.521 1.446
```

Space-group type: P4/mbm
ΔH_f (0 K) in eV per atom: -0.09
Size of the total moment in μB per formula unit: 0.992